(1)
Zr4ZnPbN2: optimized geometry, PBE.

Calculated values
Total magnetic moment (μB/f.u.): 0.00

abc: 3.3204 3.3204 14.4127
angles: 90.00 90.00 120.00
With the nearest neighbours (Å) after each atom.
Positions (direct):
Zr  0.6667  0.3333  0.8460  3 N 2.27
Zr  0.0000  0.0000  0.6738  3 N 2.30
Zr  0.6667  0.3333  0.1540  3 N 2.27
Zr  0.0000  0.0000  0.3262  3 N 2.30
Pb  0.6667  0.3333  0.5000  6 Zr 3.15, 6 Pb 3.32
Zn  0.0000  0.0000  0.0000  6 Zr 2.93
N  0.3333  0.6667  0.7622  6 Zr 2.27-2.30
N  0.3333  0.6667  0.2378  6 Zr 2.27-2.30



(2)
ZrPb2N: optimized geometry, PBE.

Calculated values
Total magnetic moment (μB/f.u.): 0.00

abc: 3.3930 3.3930 16.3047
angles: 90.00 90.00 120.00
With the nearest neighbours (Å) after each atom.
Positions (direct):
Zr  0.6667  0.3333  0.2500  6 Pb 3.19, 6 Zr 3.39
Zr  0.3333  0.6667  0.7500  6 Pb 3.19, 6 Zr 3.39
N  0.0000  0.0000  0.0000  6 Pb 2.51
N  0.0000  0.0000  0.5000  6 Pb 2.51
Pb  0.6667  0.3333  0.5958  3 N 2.51
Pb  0.3333  0.6667  0.4042  3 N 2.51
Pb  0.6667  0.3333  0.9042  3 N 2.51
Pb  0.3333  0.6667  0.0958  3 N 2.51



(3)
PdN: optimized geometry, PBE.

Calculated values
Relative energy among the computed polymorphs (meV per atom): 228

abc: 3.0255 3.0255 5.4535
angles: 90.00 90.00 120.00
With the nearest neighbours (Å) after each atom.
Positions (direct):
N  0.6667  0.3333  0.7500  6 Pd 2.22
N  0.3333  0.6667  0.2500  6 Pd 2.22
Pd  0.0000  0.0000  0.5000  6 N 2.22
Pd  0.0000  0.0000  0.0000  6 N 2.22



(4)
Pd5N: optimized geometry, PBE.

abc: 5.0537 5.0537 4.5882
angles: 90.00 90.00 120.00
With the nearest neighbours (Å) after each atom.
Positions (direct):
Pd  0.3333  0.6667  0.0000  9 Pd 2.72-2.92, 3 N 2.92
Pd  0.5000  0.0000  0.5000  8 Pd 2.53-2.72
Pd  0.0000  0.5000  0.5000  8 Pd 2.53-2.72
Pd  0.5000  0.5000  0.5000  8 Pd 2.53-2.72
Pd  0.6667  0.3333  0.0000  9 Pd 2.72-2.92, 3 N 2.92
N  0.0000  0.0000  0.0000  6 Pd 2.92



(5)
PdN: optimized geometry, PBE.

Calculated values
Relative energy among the computed polymorphs (meV per atom): 204

abc: 3.3384 3.3384 3.3384
angles: 60.00 60.00 60.00
With the nearest neighbours (Å) after each atom.
Positions (direct):
N  0.0000  0.0000  0.0000  4 Pd 2.04
Pd  0.2500  0.2500  0.2500  4 N 2.04



(6)
PdN: optimized geometry, PBE.

Calculated values
Relative energy among the computed polymorphs (meV per atom): 0

abc: 2.9246 2.9246 5.6707
angles: 90.00 90.00 90.00
With the nearest neighbours (Å) after each atom.
Positions (direct):
Pd  0.5000  0.0000  0.5000  4 N 2.04
Pd  0.0000  0.5000  0.0000  4 N 2.04
N  0.0000  0.0000  0.2500  4 Pd 2.04
N  0.0000  0.0000  0.7500  4 Pd 2.04



(7)
PdN: optimized geometry, PBE.

Calculated values
Relative energy among the computed polymorphs (meV per atom): 671

abc: 2.7640 2.7640 2.7640
angles: 90.00 90.00 90.00
With the nearest neighbours (Å) after each atom.
Positions (direct):
Pd  0.0000  0.0000  0.0000  8 N 2.39
N  0.5000  0.5000  0.5000  8 Pd 2.39



(8)
PdN: optimized geometry, PBE.

Calculated values
Relative energy among the computed polymorphs (meV per atom): 291

abc: 3.1433 3.1285 3.1159
angles: 60.45 59.98 59.58
With the nearest neighbours (Å) after each atom.
Positions (direct):
Pd  0.0000  0.0000  0.0000  6 N 2.19-2.23
N  0.5000  0.5000  0.5000  6 Pd 2.19-2.23



Number 1: electronic total energy -7.936 eV per atom. Number 2: electronic total energy -5.535 eV per atom. Number 3: electronic total energy -5.680 eV per atom. Number 4: electronic total energy -4.427 eV per atom. Number 5: electronic total energy -5.703 eV per atom. Number 6: electronic total energy -5.908 eV per atom. Number 7: electronic total energy -5.237 eV per atom. Number 8: electronic total energy -5.616 eV per atom.